Entry from the Alexandria database: a relaxed structure of PrYTl2 (PBE-GGA).

POSCAR file:
```
PrYTl2
1.0
1.920 1.108 9.747
-1.920 1.108 9.747
0.000 -2.217 9.747
Pr Y Tl
1 1 2
direct
0.000 0.000 0.000
0.500 0.500 0.500
0.247 0.247 0.247
0.753 0.753 0.753
```

Output
Space-group type: R-3m
E_form in eV/atom: -0.27
Energy above the most stable polymorph in this dataset in meV per atom: 122
Size of the total moment in μB/f.u.: 0.00